## LiAgW2 (PBE-GGA)

Data for crystalline LiAgW2 at its relaxed geometry.

Output
crystal system = tetragonal
polymorph energy (0 for the lowest one) = 0.425 eV per atom
raw total energy = -6.977 eV/atom
volume = 16.1 Å³/atom

abc: 2.6410 2.6410 9.2497
angles: 90.00 90.00 90.00
Element x y z (fractional)
Ag (0.5000, 0.5000, 0.2500)
Li (0.5000, 0.5000, 0.7500)
W (0.0000, 0.0000, 0.9968)
W (0.0000, 0.0000, 0.5032)